(1)
A relaxed structure of Y3Ni2Ir. Source: the Alexandria database, functional GGA-PBE.

Unit cell a=11.2129 b=4.0885 c=11.3274 alpha=90.00 beta=90.00 gamma=90.00
Last column: nearest neighbours and their distance in Å.
Space group Pnma (No. 62)
Unique sites:
1 Y 0.0550 0.2500 0.1226 x4  5 Ni 2.90-3.04, 1 Ir 2.94
2 Y 0.1188 0.7500 0.5577 x4  3 Ir 2.90-2.94, 5 Ni 3.00-3.07
3 Y 0.2082 0.2500 0.8016 x4  4 Ni 2.82-3.06, 2 Ir 2.84
4 Ni 0.0191 0.7500 0.3054 x4  2 Ir 2.51
5 Ni 0.1873 0.7500 0.9974 x4  1 Ir 2.50
6 Ir 0.1300 0.2500 0.3712 x4  3 Ni 2.50-2.51

Calculated values
- Crystal system: orthorhombic
- Calculated total energy: -7.13 eV per atom
- Total moment: 0.0 μB per formula unit


(2)
A relaxed structure of K4Ac3ZrO8. Source: the Alexandria database, functional GGA-PBE.

Unit cell a=7.4789 b=7.4789 c=19.2591 alpha=90.00 beta=90.00 gamma=120.00
Last column: nearest neighbours and their distance in Å.
Space group R-3m (No. 166, hexagonal axes)
Unique sites:
1 K 0.0000 0.0000 0.0000 x3  6 O 3.20
2 K 0.0000 0.5000 0.0000 x9  6 O 2.87-2.89
3 Ac 0.0000 0.5000 0.5000 x9  6 O 2.53-2.59
4 Zr 0.0000 0.0000 0.5000 x3  6 O 2.19
5 O 0.0000 0.0000 0.2348 x6  3 Ac 2.53
6 O 0.0455 0.5228 0.2265 x18  1 Zr 2.19

Calculated values
- Crystal system: trigonal
- Calculated total energy: -6.53 eV per atom
- Total moment: 0.5 μB per formula unit
- Formation energy from raw total energies: -2.4755 eV/atom


(3)
A relaxed structure of IrC3. Source: the Alexandria database, functional GGA-PBE.

Unit cell a=2.6551 b=2.6551 c=15.6971 alpha=90.00 beta=90.00 gamma=120.00
Last column: nearest neighbours and their distance in Å.
Space group R-3m (No. 166, hexagonal axes)
Unique sites:
1 Ir 0.0000 0.0000 0.0000 x3  6 C 2.26
2 C 0.0000 0.0000 0.2275 x6  3 C 1.81
3 C 0.0000 0.0000 0.5000 x3  6 C 1.81

Calculated values
- Relative energy among the computed polymorphs: 1313 meV/atom
- Crystal system: trigonal
- Calculated total energy: -7.10 eV per atom
- Total moment: 0.0 μB per formula unit


(4)
A relaxed structure of V2CBr. Source: the Alexandria database, functional GGA-PBE.

Unit cell a=5.2744 b=5.2744 c=9.5889 alpha=90.00 beta=90.00 gamma=90.00
Last column: nearest neighbours and their distance in Å.
Space group I-42d (No. 122)
Unique sites:
1 V 0.1594 0.2500 0.1250 x8  2 C 1.97
2 C 0.0000 0.0000 0.0000 x4  4 V 1.97
3 Br 0.0000 0.0000 0.5000 x4  4 V 2.53

Calculated values
- Crystal system: tetragonal
- Calculated total energy: -7.01 eV per atom
- Total moment: 3.4 μB per formula unit
- Formation energy from raw total energies: 0.2736 eV/atom


(5)
A relaxed structure of GdHfRuRh. Source: the Alexandria database, functional GGA-PBE.

Unit cell a=6.6919 b=6.6919 c=6.6919 alpha=90.00 beta=90.00 gamma=90.00
Last column: nearest neighbours and their distance in Å.
Space group F-43m (No. 216)
Unique sites:
1 Gd 0.0000 0.0000 0.0000 x4  4 Rh 2.90, 4 Ru 2.90
2 Hf 0.0000 0.0000 0.5000 x4  4 Ru 2.90, 4 Rh 2.90
3 Ru 0.2500 0.2500 0.2500 x4  4 Hf 2.90, 4 Gd 2.90
4 Rh 0.2500 0.2500 0.7500 x4  4 Hf 2.90, 4 Gd 2.90

Calculated values
- Crystal system: cubic
- Calculated total energy: -10.80 eV per atom
- Total moment: 7.0 μB per formula unit


(6)
A relaxed structure of BaEuMgAg. Source: the Alexandria database, functional GGA-PBE.

Unit cell a=8.1760 b=8.1760 c=8.1760 alpha=90.00 beta=90.00 gamma=90.00
Last column: nearest neighbours and their distance in Å.
Space group F-43m (No. 216)
Unique sites:
1 Ba 0.0000 0.0000 0.0000 x4  4 Mg 3.54, 4 Ag 3.54
2 Eu 0.0000 0.0000 0.5000 x4  4 Mg 3.54, 4 Ag 3.54
3 Mg 0.2500 0.2500 0.7500 x4  4 Ba 3.54, 4 Eu 3.54
4 Ag 0.2500 0.2500 0.2500 x4  4 Ba 3.54, 4 Eu 3.54

Calculated values
- Crystal system: cubic
- Calculated total energy: -4.26 eV per atom
- Total moment: 7.3 μB per formula unit


(7)
A relaxed structure of Sr4GaHg. Source: the Alexandria database, functional GGA-PBE.

Unit cell a=5.5682 b=5.5682 c=27.5371 alpha=90.00 beta=90.00 gamma=120.00
Last column: nearest neighbours and their distance in Å.
Space group R-3m (No. 166, hexagonal axes)
Unique sites:
1 Sr 0.0000 0.0000 0.1204 x6  1 Ga 3.31, 3 Hg 3.46
2 Sr 0.0000 0.0000 0.3708 x6  3 Ga 3.38, 1 Hg 3.56
3 Ga 0.0000 0.0000 0.0000 x3  8 Sr 3.31-3.38
4 Hg 0.0000 0.0000 0.5000 x3  8 Sr 3.46-3.56

Calculated values
- Relative energy among the computed polymorphs: 93 meV/atom
- Crystal system: trigonal
- Calculated total energy: -1.91 eV per atom
- Total moment: 0.0 μB per formula unit


(8)
A relaxed structure of Pm4DyMg. Source: the Alexandria database, functional GGA-PBE.

Unit cell a=3.6499 b=3.6499 c=14.4819 alpha=90.00 beta=90.00 gamma=90.00
Last column: nearest neighbours and their distance in Å.
Space group P4/mmm (No. 123)
Unique sites:
1 Pm 0.0000 0.0000 0.1518 x2  4 Mg 3.39, 8 Pm 3.61-3.65
2 Pm 0.5000 0.5000 0.3263 x2  4 Dy 3.60, 8 Pm 3.61-3.65
3 Dy 0.0000 0.0000 0.5000 x1  8 Pm 3.60, 4 Dy 3.65
4 Mg 0.5000 0.5000 0.0000 x1  8 Pm 3.39, 4 Mg 3.65

Calculated values
- Relative energy among the computed polymorphs: 0 meV/atom
- Crystal system: tetragonal
- Calculated total energy: -4.22 eV per atom
- Total moment: 0.0 μB per formula unit


> total moment of number 4 (V2CBr)?

3.4 μB per formula unit